Computed, not measured: a geometry-optimized CsNi2SeF structure at the PBE+U level of DFT.

Structure (CIF):
```
data_CsNi2SeF
_chemical_formula_sum 'Cs1 Ni2 Se1 F1'
_space_group_name_H-M_alt 'P 4/m m m'
_space_group_IT_number 123
_space_group_name_Hall '-P 4 2'
_cell_length_a 4.664
_cell_length_b 4.664
_cell_length_c 5.324
_cell_angle_alpha 90.00
_cell_angle_beta 90.00
_cell_angle_gamma 90.00
loop_
_atom_site_label
_atom_site_type_symbol
_atom_site_fract_x
_atom_site_fract_y
_atom_site_fract_z
_atom_site_occupancy
Cs1 Cs 0.000 0.000 0.000 1
Ni1 Ni 0.000 0.500 0.500 1
Se1 Se 0.500 0.500 0.000 1
F1 F 0.000 0.000 0.500 1
```

energy: -2.365 eV/atom